1.
DFT (GGA-PBE) results for an optimized crystal structure of SrCo3.

The density of states at the Fermi level comes out at 8.809 states/eV/cell. The value obtained for the energy of formation is 872.3 meV/atom.

POSCAR file:
```
SrCo3
1.0
4.017 0.000 0.000
0.000 4.017 0.000
0.000 0.000 4.017
Sr Co
1 3
direct
0.000 0.000 0.000
0.000 0.500 0.500
0.500 0.000 0.500
0.500 0.500 0.000
```


2.
DFT (GGA-PBE) results for an optimized crystal structure of Ho6AgRh2.

The density of states at the Fermi level comes out at 19.282 states/eV/cell. The value obtained for the energy of formation is -518.0 meV/atom.

POSCAR file:
```
Ho6AgRh2
1.0
-4.634 4.749 5.140
4.634 -4.749 5.140
4.634 4.749 -5.140
Ho Ag Rh
12 2 4
direct
0.042 0.238 0.804
0.180 0.283 0.463
0.180 0.717 0.897
0.328 0.022 0.694
0.328 0.635 0.306
0.434 0.238 0.196
0.566 0.762 0.804
0.672 0.365 0.694
0.672 0.978 0.306
0.820 0.283 0.103
0.820 0.717 0.537
0.958 0.762 0.196
0.000 0.000 0.000
0.500 0.500 0.000
0.132 0.632 0.500
0.334 0.000 0.334
0.666 0.000 0.666
0.868 0.368 0.500
```


3.
DFT (GGA-PBE) results for an optimized crystal structure of Cs2InSnS4.

The density of states at the Fermi level comes out at 9.540 states/eV/cell. The value obtained for the energy relative to the elements, uncorrected is -761 meV per atom.

POSCAR file:
```
Cs2InSnS4
1.0
0.000 7.459 12.223
3.290 0.000 12.223
3.290 7.459 0.000
Cs In Sn S
4 2 2 8
direct
0.055 0.055 0.695
0.305 0.305 0.945
0.695 0.695 0.055
0.945 0.945 0.305
0.375 0.375 0.375
0.625 0.625 0.625
0.125 0.125 0.125
0.875 0.875 0.875
0.015 0.344 0.426
0.285 0.574 0.656
0.344 0.015 0.715
0.426 0.715 0.015
0.574 0.285 0.985
0.656 0.985 0.285
0.715 0.426 0.344
0.985 0.656 0.574
```


4.
DFT (GGA-PBE) results for an optimized crystal structure of Tl2RuPb.

The density of states at the Fermi level comes out at 3.603 states/eV/cell. The value obtained for the energy of formation is 679.9 meV/atom. The value obtained for the excess energy over the best structure of this formula in the dataset is 386 meV per atom.

POSCAR file:
```
Tl2RuPb
1.0
3.291 -4.600 0.000
3.291 4.600 0.000
0.000 0.000 3.197
Tl Ru Pb
2 1 1
direct
0.000 0.500 0.000
0.500 0.000 0.000
0.000 0.000 0.500
0.500 0.500 0.500
```


5.
DFT (GGA-PBE) results for an optimized crystal structure of CaOsPt2.

The density of states at the Fermi level comes out at 3.559 states/eV/cell. The value obtained for the energy of formation is -165.1 meV/atom. The value obtained for the excess energy over the best structure of this formula in the dataset is 0 meV per atom.

POSCAR file:
```
CaOsPt2
1.0
2.930 -4.030 0.000
2.930 4.030 0.000
0.000 0.000 2.809
Ca Os Pt
1 1 2
direct
0.000 0.000 0.000
0.500 0.500 0.000
0.000 0.500 0.500
0.500 0.000 0.500
```


6.
DFT (GGA-PBE) results for an optimized crystal structure of Rb3CaTi.

The density of states at the Fermi level comes out at 7.022 states/eV/cell. The value obtained for the energy of formation is 972.9 meV/atom. The value obtained for the excess energy over the best structure of this formula in the dataset is 0 meV per atom.

POSCAR file:
```
Rb3CaTi
1.0
7.026 0.000 0.000
0.000 7.026 0.000
0.000 0.000 7.026
Rb Ca Ti
3 1 1
direct
0.000 0.000 0.500
0.000 0.500 0.000
0.500 0.000 0.000
0.500 0.500 0.500
0.000 0.000 0.000
```


7.
DFT (GGA-PBE) results for an optimized crystal structure of Na3AcSb2Se6.

The density of states at the Fermi level comes out at 0.000 states/eV/cell. The value obtained for the energy relative to the elements, uncorrected is -998 meV per atom.

POSCAR file:
```
Na3AcSb2Se6
1.0
3.701 -6.424 0.000
3.701 6.424 0.000
-2.474 0.000 7.083
Na Ac Sb Se
3 1 2 6
direct
0.000 0.000 0.000
0.332 0.668 0.000
0.668 0.332 0.000
0.500 0.500 0.500
0.167 0.833 0.500
0.833 0.167 0.500
0.070 0.423 0.265
0.229 0.229 0.739
0.423 0.070 0.265
0.577 0.930 0.735
0.771 0.771 0.261
0.930 0.577 0.735
```


8.
DFT (GGA-PBE) results for an optimized crystal structure of ThPb2Se4.

The value obtained for the energy relative to the elements, uncorrected is -998 meV per atom. The value obtained for the excess energy over the best structure of this formula in the dataset is 45 meV per atom.

POSCAR file:
```
ThPb2Se4
1.0
2.060 -7.327 0.000
2.060 7.327 0.000
0.000 0.000 14.202
Th Pb Se
2 4 8
direct
0.120 0.880 0.750
0.880 0.120 0.250
0.371 0.629 0.567
0.371 0.629 0.933
0.629 0.371 0.067
0.629 0.371 0.433
0.000 0.000 0.000
0.000 0.000 0.500
0.289 0.711 0.128
0.289 0.711 0.372
0.481 0.519 0.750
0.519 0.481 0.250
0.711 0.289 0.628
0.711 0.289 0.872
```


9.
DFT (GGA-PBE) results for an optimized crystal structure of SrNdPt2.

The density of states at the Fermi level comes out at 1.344 states/eV/cell. The value obtained for the energy of formation is -957.4 meV/atom. The value obtained for the excess energy over the best structure of this formula in the dataset is 0 meV per atom.

POSCAR file:
```
SrNdPt2
1.0
3.642 0.000 0.000
0.000 3.642 0.000
0.000 0.000 7.382
Sr Nd Pt
1 1 2
direct
0.000 0.000 0.000
0.000 0.000 0.500
0.500 0.500 0.280
0.500 0.500 0.720
```


10.
DFT (GGA-PBE) results for an optimized crystal structure of TbSCl.

The density of states at the Fermi level comes out at 0.000 states/eV/cell. The value obtained for the energy relative to the elements, uncorrected is -2037 meV per atom.

POSCAR file:
```
TbSCl
1.0
0.000 3.301 3.301
3.301 0.000 3.301
3.301 3.301 0.000
Tb S Cl
1 1 1
direct
0.000 0.000 0.000
0.250 0.250 0.250
0.750 0.750 0.750
```


11.
DFT (GGA-PBE) results for an optimized crystal structure of LaYHoEr.

The density of states at the Fermi level comes out at 6.986 states/eV/cell. The value obtained for the energy of formation is 111.6 meV/atom. The value obtained for the excess energy over the best structure of this formula in the dataset is 84 meV per atom.

POSCAR file:
```
LaYHoEr
1.0
0.000 4.051 4.051
4.051 0.000 4.051
4.051 4.051 0.000
La Y Ho Er
1 1 1 1
direct
0.000 0.000 0.000
0.500 0.500 0.500
0.750 0.750 0.750
0.250 0.250 0.250
```


12.
DFT (GGA-PBE) results for an optimized crystal structure of La2ZnMo.

The density of states at the Fermi level comes out at 3.410 states/eV/cell. The value obtained for the energy of formation is 382.6 meV/atom.

POSCAR file:
```
La2ZnMo
1.0
1.816 1.048 9.297
-1.816 1.048 9.297
0.000 -2.097 9.297
La Zn Mo
2 1 1
direct
0.243 0.243 0.243
0.757 0.757 0.757
0.000 0.000 0.000
0.500 0.500 0.500
```


Number 1: electronic total energy -0.179 Ha/atom. Number 2: electronic total energy -0.203 Ha/atom. Number 3: electronic total energy -0.143 Ha/atom. Number 4: electronic total energy -0.138 Ha/atom. Number 5: electronic total energy -0.239 Ha/atom. Number 6: electronic total energy -0.058 Ha/atom. Number 7: electronic total energy -0.151 Ha/atom. Number 8: electronic total energy -0.188 Ha/atom. Number 9: electronic total energy -0.205 Ha/atom. Number 10: electronic total energy -0.205 Ha/atom. Number 11: electronic total energy -0.185 Ha/atom. Number 12: electronic total energy -0.188 Ha/atom.